AlOs2Ru: optimized geometry, PBE.

```
AlOs2Ru
1.0
-3.623 -3.214 -1.211
-1.298 -4.720 -0.978
-1.842 -2.273 3.695
Ru Os Al
1 2 1
direct
0.491 0.491 0.417
0.756 0.756 0.834
0.009 0.009 0.922
0.243 0.243 0.327
```

## Properties
Its formation energy from the elements is -0.105 eV per atom. Its space group is Cm (8).

---

AlOs2Ru: optimized geometry, PBE.

```
AlOs2Ru
1.0
2.775 0.000 0.000
0.000 3.787 0.000
0.000 0.000 5.406
Os Al Ru
2 1 1
direct
0.500 0.500 0.240
0.000 0.000 0.008
0.500 0.500 0.742
0.000 0.000 0.510
```

## Properties
Its formation energy from the elements is -0.056 eV per atom. Its space group is Pmm2 (25).

---

AlOs3Ru: optimized geometry, PBE.

```
AlOs3Ru
1.0
-2.494 2.789 -2.751
-2.640 -3.606 -1.263
-2.895 0.886 3.522
Os Ru Al
3 1 1
direct
0.000 0.500 0.000
0.500 0.000 0.000
0.000 0.000 0.500
0.000 0.000 0.000
0.500 0.500 0.500
```

## Properties
Its formation energy from the elements is 2.183 eV per atom. Its space group is Pm-3m (221).

---

no.,V (A^3/atom)
1,14.2
2,14.2
3,20.0